Record 1
The following is a PBE calculation of crystalline BaZr2MoI at its relaxed geometry, from Alexandria via LeMat-Bulk.

```
5
Lattice="5.4167 0.0000 0.0000 0.0000 5.4167 0.0000 0.0000 0.0000 5.1282" Properties=species:S:1:pos:R:3 pbc="T T T"
Ba 0.0000 0.0000 0.0000
Zr 0.0000 2.7083 2.5641
Zr 2.7083 0.0000 2.5641
Mo 2.7083 2.7083 0.0000
I 2.7083 2.7083 2.5641
```

Output
M_tot   1.33 Bohr magnetons per cell
Final energy   -5.213 eV per atom


Record 2
The following is a PBE calculation of crystalline BaI2N2 at its relaxed geometry, from Alexandria via LeMat-Bulk.

```
5
Lattice="4.7712 -2.7577 0.0000 4.7712 2.7577 0.0000 -0.0129 0.0000 7.8085" Properties=species:S:1:pos:R:3 pbc="T T T"
Ba 0.0000 0.0000 0.0000
I 3.1706 0.0000 6.2793
I 6.3589 0.0000 1.5292
N 9.5359 0.0000 3.3472
N -0.0064 0.0000 4.4612
```

Output
M_tot   0.00 Bohr magnetons per cell
Excess energy over the best structure of this formula in the dataset   0.000 eV per atom


Record 3
The following is a PBE calculation of crystalline Ba4I2N at its relaxed geometry, from Alexandria via LeMat-Bulk.

```
7
Lattice="-2.9853 2.9853 8.2270 2.9853 -2.9853 8.2270 2.9853 2.9853 -8.2270" Properties=species:S:1:pos:R:3 pbc="T T T"
Ba 2.9853 0.0000 0.0000
Ba 0.0000 0.0000 2.6943
Ba 0.0000 2.9853 0.0000
Ba 0.0000 0.0000 13.7598
I 0.0000 0.0000 6.2656
I 0.0000 0.0000 10.1885
N 0.0000 0.0000 0.0000
```

Output
M_tot   0.02 Bohr magnetons per cell
Final energy   -3.516 eV per atom


Record 4
The following is a PBE calculation of crystalline BaI2N at its relaxed geometry, from Alexandria via LeMat-Bulk.

```
16
Lattice="5.9877 0.0000 0.0000 0.0000 8.8907 0.0000 -3.9494 0.0000 10.8685" Properties=species:S:1:pos:R:3 pbc="T T T"
Ba -0.3407 2.1564 4.0651
Ba -2.3155 2.2889 9.4994
Ba 4.3537 6.6017 1.3692
Ba 2.3790 6.7343 6.8034
I -0.5837 5.7466 4.8604
I -2.5584 7.5894 10.2946
I -0.5832 0.1862 7.0503
I 1.3915 4.2592 1.6160
I 0.6467 4.6315 9.2525
I 2.6215 8.7045 3.8182
I 4.5967 1.3012 0.5739
I 2.6220 3.1441 6.0081
N -1.7952 5.1503 8.1982
N 0.1795 8.1857 2.7639
N 1.8588 0.7050 8.1046
N 3.8335 3.7404 2.6704
```

Output
M_tot   12.04 Bohr magnetons per cell
Excess energy over the best structure of this formula in the dataset   0.000 eV per atom


Record 5
The following is a PBE calculation of crystalline Ba4I3N at its relaxed geometry, from Alexandria via LeMat-Bulk.

```
8
Lattice="-3.9947 5.7152 4.1995 3.9947 -5.7152 4.1995 3.9947 5.7152 -4.1995" Properties=species:S:1:pos:R:3 pbc="T T T"
Ba 0.0000 2.2103 0.0000
Ba 2.1269 5.7152 -1.3343
Ba 1.8678 0.0000 2.8652
Ba 0.0000 9.2200 0.0000
I 3.9947 3.0734 0.5568
I 0.0000 5.7152 1.5642
I 0.0000 2.6418 4.7563
N 0.0000 0.0000 1.1234
```

Output
M_tot   1.61 Bohr magnetons per cell
Final energy   -3.572 eV per atom


Record 6
The following is a PBE calculation of crystalline Ba3IN at its relaxed geometry, from Alexandria via LeMat-Bulk.

```
5
Lattice="5.6734 0.0000 0.0000 0.0000 5.6734 0.0000 0.0000 0.0000 5.6734" Properties=species:S:1:pos:R:3 pbc="T T T"
Ba 0.0000 0.0000 2.8367
Ba 0.0000 2.8367 0.0000
Ba 2.8367 0.0000 0.0000
I 2.8367 2.8367 2.8367
N 0.0000 0.0000 0.0000
```

Output
M_tot   0.00 Bohr magnetons per cell
Excess energy over the best structure of this formula in the dataset   0.181 eV per atom